# AgHI2N

A geometry-optimized AgHI2N structure (GGA-PBE, the Alexandria database).

abc: 6.179 6.179 2.941
angles: 90.00 90.00 90.00
Sites, in units of the cell vectors:
1 Ag 0.000 0.000 0.000
2 H 0.500 0.500 0.500
3 I 0.000 0.500 0.500
4 I 0.500 0.000 0.500
5 N 0.500 0.500 0.000

Values from the calculation:
Its symmetry is P4/mmm (123). As for the offset from the most stable computed form: 0 meV/atom. The value obtained for the magnetization is 2.07 μB per cell.

# AgHI2N

A geometry-optimized AgHI2N structure (GGA-PBE, the Alexandria database).

abc: 5.845 5.845 4.124
angles: 90.00 90.00 90.00
Sites, in units of the cell vectors:
1 Ag 0.000 0.000 0.000
2 H 0.500 0.500 0.500
3 I 0.000 0.500 0.000
4 I 0.500 0.000 0.000
5 N 0.000 0.000 0.500

Values from the calculation:
Its symmetry is P4/mmm (123). As for the offset from the most stable computed form: 375 meV/atom. The value obtained for the magnetization is 3.45 μB per cell.

# Ag2H2I2O

A geometry-optimized Ag2H2I2O structure (GGA-PBE, the Alexandria database).

abc: 4.690 4.690 9.322
angles: 96.32 96.32 59.69
Sites, in units of the cell vectors:
1 Ag 0.204 0.204 0.402
2 Ag 0.796 0.796 0.598
3 H 0.400 0.400 0.935
4 H 0.600 0.600 0.065
5 I 0.152 0.152 0.712
6 I 0.848 0.848 0.288
7 O 0.500 0.500 0.000

Values from the calculation:
Its symmetry is C2/m (12). The calculation puts the total energy at -3.2691 eV/atom. The value obtained for the magnetization is 0.00 μB per cell.

# Ag6H3IO6

A geometry-optimized Ag6H3IO6 structure (GGA-PBE, the Alexandria database).

abc: 5.663 6.444 6.779
angles: 83.12 66.92 70.43
Sites, in units of the cell vectors:
1 Ag 0.163 0.484 0.217
2 Ag 0.266 0.188 0.897
3 Ag 0.307 0.636 0.795
4 Ag 0.693 0.364 0.205
5 Ag 0.734 0.812 0.103
6 Ag 0.837 0.516 0.783
7 H 0.000 0.500 0.000
8 H 0.500 0.000 0.500
9 H 0.500 0.500 0.000
10 I 0.000 0.000 0.500
11 O 0.115 0.680 0.502
12 O 0.263 0.987 0.217
13 O 0.282 0.980 0.624
14 O 0.718 0.020 0.376
15 O 0.737 0.013 0.783
16 O 0.885 0.320 0.498

Values from the calculation:
Its symmetry is P-1 (2). The calculation puts the total energy at -3.7868 eV/atom. The value obtained for the magnetization is 0.00 μB per cell.

# Ag2HSI

A geometry-optimized Ag2HSI structure (GGA-PBE, the Alexandria database).

abc: 7.052 7.052 7.052
angles: 121.55 121.55 87.33
Sites, in units of the cell vectors:
1 Ag 0.161 0.661 0.823
2 Ag 0.339 0.161 0.500
3 Ag 0.661 0.839 0.500
4 Ag 0.839 0.339 0.177
5 H 0.163 0.163 0.000
6 H 0.663 0.663 0.000
7 S 0.030 0.030 0.000
8 S 0.530 0.530 0.000
9 I 0.260 0.760 0.500
10 I 0.760 0.260 0.500

Values from the calculation:
Its symmetry is I4cm (108). The calculation puts the total energy at -3.0905 eV/atom. The value obtained for the magnetization is 0.00 μB per cell.

# AgSb2HI

A geometry-optimized AgSb2HI structure (GGA-PBE, the Alexandria database).

abc: 5.379 5.379 6.037
angles: 90.00 90.00 90.00
Sites, in units of the cell vectors:
1 Ag 0.000 0.000 0.000
2 Sb 0.000 0.500 0.000
3 Sb 0.500 0.000 0.000
4 H 0.500 0.500 0.500
5 I 0.000 0.000 0.500

Values from the calculation:
Its symmetry is P4/mmm (123). As for the offset from the most stable computed form: 535 meV/atom. The value obtained for the magnetization is 1.75 μB per cell.